# 1
BiPAuS: optimized geometry, PBE.

Output
**Relative energy among the computed polymorphs**: 0 meV per atom
**Size of the total moment**: 0.0 μB/f.u.
**Symmetry**: P3m1

Cell: 4.0488 4.0488 6.7184 Å, 90.00 90.00 120.00°
Atoms (fractional coordinates):
S (0.0000, 0.0000, 0.5467)
Au (0.6667, 0.3333, 0.9912)
P (0.0000, 0.0000, 0.8576)
Bi (0.3333, 0.6667, 0.2644)

***

# 2
Hf2ZrSe: optimized geometry, PBE.

Output
**Size of the total moment**: 0.0 μB/f.u.
**DFT total energy**: -32.2 eV per cell
**Symmetry**: R-3m

Cell: 3.2691 3.2691 9.8655 Å, 80.46 80.46 60.00°
Atoms (fractional coordinates):
Hf (0.9011, 0.9011, 0.2966)
Zr (0.0000, 0.0000, 0.0000)
Hf (0.0989, 0.0989, 0.7034)
Se (0.5000, 0.5000, 0.5000)

***

# 3
Au2SeCl: optimized geometry, PBE.

Output
**Relative energy among the computed polymorphs**: 92 meV per atom
**Size of the total moment**: 0.2 μB/f.u.
**Symmetry**: Imm2

Cell: 5.9871 5.9871 5.9871 Å, 140.90 91.98 100.91°
Atoms (fractional coordinates):
Cl (0.5721, 0.5721, 0.0000)
Au (0.9949, 0.9949, 0.0000)
Au (0.7631, 0.2631, 0.5000)
Se (0.1698, 0.6698, 0.5000)

***

# 4
NaLiSbIr: optimized geometry, PBE.

Output
**Size of the total moment**: 0.0 μB/f.u.
**DFT total energy**: -16.8 eV per cell
**Symmetry**: F-43m

Cell: 4.6051 4.6051 4.6051 Å, 60.00 60.00 60.00°
Atoms (fractional coordinates):
Ir (0.5000, 0.5000, 0.5000)
Sb (0.7500, 0.7500, 0.7500)
Na (0.2500, 0.2500, 0.2500)
Li (0.0000, 0.0000, 0.0000)

***

# 5
HfTi2Tl2: optimized geometry, PBE.

Output
**Relative energy among the computed polymorphs**: 0 meV per atom
**Size of the total moment**: 0.0 μB/f.u.
**Energy of formation**: 0.215 eV per atom
**Symmetry**: P4/mbm

Cell: 7.8333 7.8333 3.4217 Å, 90.00 90.00 90.00°
Atoms (fractional coordinates):
Hf (0.5000, 0.5000, 0.0000)
Ti (0.6702, 0.8298, 0.5000)
Ti (0.3298, 0.1702, 0.5000)
Tl (0.1336, 0.3664, 0.0000)
Ti (0.1702, 0.6702, 0.5000)
Tl (0.3664, 0.8664, 0.0000)
Tl (0.6336, 0.1336, 0.0000)
Ti (0.8298, 0.3298, 0.5000)
Tl (0.8664, 0.6336, 0.0000)
Hf (0.0000, 0.0000, 0.0000)

***

# 6
ScTcAs3: optimized geometry, PBE.

Output
**Relative energy among the computed polymorphs**: 0 meV per atom
**Size of the total moment**: 0.0 μB/f.u.
**Energy of formation**: 0.254 eV per atom
**Symmetry**: Pm-3m

Cell: 4.8230 4.8230 4.8230 Å, 90.00 90.00 90.00°
Atoms (fractional coordinates):
As (0.0000, 0.0000, 0.5000)
As (0.5000, 0.0000, 0.0000)
As (0.0000, 0.5000, 0.0000)
Tc (0.0000, 0.0000, 0.0000)
Sc (0.5000, 0.5000, 0.5000)

***

# 7
NaLiNiPb2: optimized geometry, PBE.

Output
**Size of the total moment**: 0.0 μB/f.u.
**Energy of formation**: -0.015 eV per atom
**Symmetry**: P4/mmm

Cell: 5.0826 5.0826 4.9485 Å, 90.00 90.00 90.00°
Atoms (fractional coordinates):
Li (0.0000, 0.0000, 0.5000)
Na (0.5000, 0.5000, 0.5000)
Pb (0.5000, 0.0000, 0.0000)
Pb (0.0000, 0.5000, 0.0000)
Ni (0.0000, 0.0000, 0.0000)

***

# 8
NbIr2F: optimized geometry, PBE.

Output
**Relative energy among the computed polymorphs**: 0 meV per atom
**Size of the total moment**: 0.0 μB/f.u.
**Symmetry**: I-42d

Cell: 8.1291 8.1291 6.1439 Å, 48.58 48.58 90.00°
Atoms (fractional coordinates):
Ir (0.0580, 0.6250, 0.2500)
F (0.2500, 0.7500, 0.5000)
F (0.5000, 0.5000, 0.0000)
Ir (0.3750, 0.3080, 0.7500)
Ir (0.8750, 0.9420, 0.7500)
Nb (0.0000, 0.0000, 0.0000)
Nb (0.7500, 0.2500, 0.5000)
Ir (0.6920, 0.1250, 0.2500)